A relaxed PmCo3Rh4O12 crystal, computed with PBE+U.

## Properties
Fermi-level density of states: 0.49 states/eV/atom
raw total energy: -6.572 eV/atom
theoretical density: 7.11 g/cm3

a b c (Å): 6.547 6.547 6.547
angles (deg): 109.47 109.47 109.47
Fractional positions:
1 O 0.168 0.474 0.306
2 O 0.168 0.862 0.694
3 O 0.306 0.168 0.474
4 O 0.474 0.306 0.168
5 O 0.526 0.694 0.832
6 O 0.694 0.832 0.526
7 O 0.306 0.832 0.138
8 O 0.862 0.694 0.168
9 O 0.138 0.306 0.832
10 O 0.694 0.168 0.862
11 O 0.832 0.138 0.306
12 O 0.832 0.526 0.694
13 Rh 0.000 0.500 0.000
14 Rh 0.500 0.500 0.500
15 Rh 0.000 0.000 0.500
16 Rh 0.500 0.000 0.000
17 Pm 0.000 0.000 0.000
18 Co 0.500 0.000 0.500
19 Co 0.500 0.500 0.000
20 Co 0.000 0.500 0.500